# K2NpTiS5

A relaxed K2NpTiS5 crystal (PBE, Alexandria via LeMat-Bulk).

Cell and atoms, written as POSCAR:
```
K2NpTiS5
1.0
-3.073 -1.431 -2.274
4.592 -7.659 2.279
-7.795 -1.296 11.353
S Ti Np K
10 2 2 4
Cartesian
-2.777 -8.987 5.747 S
-7.665 -1.802 7.832 S
0.164 -0.790 0.275 S
-1.167 -5.799 5.228 S
-4.509 -4.033 4.970 S
0.778 -8.685 4.417 S
-1.501 -4.298 1.071 S
-3.275 -5.839 8.103 S
2.038 -5.720 0.847 S
-7.401 -4.968 9.469 S
-8.415 -2.903 9.539 Ti
-0.644 -7.945 5.873 Ti
-3.877 -6.353 5.575 Np
1.003 -3.468 0.828 Np
-5.763 -7.923 9.114 K
-0.522 -7.427 1.717 K
-1.749 -2.668 4.044 K
-4.561 -2.760 7.903 K
```

Values from the calculation:
Calculated total energy: -6.13 eV/atom
Formation energy from raw total energies: -1279 meV/atom